1.
Entry from Alexandria: a geometry-optimized DyHoPuTl structure (GGA-PBE).

abc: 7.644 7.644 7.644
angles: 90.00 90.00 90.00
Space group F-43m (No. 216)
Unique sites:
Dy 0.000 0.000 0.000
Ho 0.000 0.000 0.500
Pu 0.250 0.250 0.750
Tl 0.250 0.250 0.250

Calculated values
N(E_F)	14.81	states/eV/f.u.
V	111.7	Å³/f.u.
DFT formation energy	0.05	eV per atom
M_tot	26.9	μB/cell

=====

2.
Entry from Alexandria: a geometry-optimized Dy2Ho6Tm3Pu structure (GGA-PBE).

abc: 6.076 10.526 11.590
angles: 90.00 100.08 90.00
Space group C2/m (No. 12)
Unique sites:
Dy 0.000 0.167 0.000
Ho 0.247 0.500 0.750
Ho 0.248 0.335 0.250
Tm 0.000 0.000 0.500
Tm 0.000 0.333 0.500
Pu 0.000 0.500 0.000

Calculated values
N(E_F)	24.64	states/eV/f.u.
V	364.9	Å³/f.u.
DFT formation energy	0.04	eV per atom
M_tot	13.0	μB/cell

=====

3.
Entry from Alexandria: a geometry-optimized Dy2Ho3Tm6Pu structure (GGA-PBE).

abc: 6.058 10.490 11.546
angles: 90.00 100.10 90.00
Space group C2/m (No. 12)
Unique sites:
Dy 0.000 0.167 0.000
Ho 0.000 0.000 0.500
Ho 0.000 0.333 0.500
Tm 0.247 0.500 0.751
Tm 0.248 0.335 0.249
Pu 0.000 0.500 0.000

Calculated values
N(E_F)	24.22	states/eV/f.u.
V	361.2	Å³/f.u.
DFT formation energy	0.04	eV per atom
M_tot	12.8	μB/cell

=====

4.
Entry from Alexandria: a geometry-optimized DyHo2Tm4Pu structure (GGA-PBE).

abc: 12.073 6.962 12.080
angles: 90.00 109.64 90.00
Space group C2/m (No. 12)
Unique sites:
Dy 0.250 0.250 0.000
Ho 0.000 0.000 0.000
Ho 0.000 0.000 0.500
Ho 0.250 0.250 0.500
Tm 0.000 0.254 0.250
Tm 0.247 0.500 0.246
Tm 0.247 0.500 0.745
Pu 0.000 0.500 0.000
Pu 0.000 0.500 0.500

Calculated values
N(E_F)	17.02	states/eV/f.u.
V	239.0	Å³/f.u.
DFT formation energy	0.05	eV per atom
M_tot	24.8	μB/cell

=====

Q: Look up the M_tot of the first one.
A: 26.9 μB/cell